1.
VASP calculation (PBE-GGA) on a relaxed structure of YNbN.

Cell lengths 3.612, 3.612, 8.203 Å; angles 90.00, 90.00, 90.00 degrees
Space group P4/nmm (No. 129, origin choice 2)
Symmetry-distinct sites (fractional):
Y  0.250  0.250  0.168
Nb  0.250  0.750  0.500
N  0.250  0.250  0.684

## Properties
* formation energy from raw total energies: -0.2859 eV per atom
* DFT total energy: -0.63005 Ry/atom
* DOS(E_F): 2.34 states/eV/f.u.
* theoretical density: 6.078 g/cm3


2.
VASP calculation (PBE-GGA) on a relaxed structure of Tb5ScAs6.

Cell lengths 7.104, 12.298, 7.101 Å; angles 90.00, 109.51, 90.00 degrees
Space group C2/m (No. 12)
Symmetry-distinct sites (fractional):
Tb  0.000  0.000  0.000
Tb  0.000  0.166  0.500
Tb  0.000  0.331  0.000
Sc  0.000  0.500  0.500
As  0.243  0.500  0.254
As  0.244  0.337  0.744

## Properties
* energy of formation from the pure elements: -1.500 eV/atom
* DFT total energy: -0.46173 Ry/atom
* DOS(E_F): 1.38 states/eV/f.u.
* theoretical density: 7.321 g/cm3


3.
VASP calculation (PBE-GGA) on a relaxed structure of TmTl3Bi2Se6.

Cell lengths 7.377, 12.778, 8.067 Å; angles 90.00, 107.73, 90.00 degrees
Space group C2/m (No. 12)
Symmetry-distinct sites (fractional):
Tm  0.000  0.000  0.000
Tl  0.000  0.168  0.500
Tl  0.000  0.500  0.500
Bi  0.000  0.334  0.000
Se  0.231  0.161  0.210
Se  0.248  0.500  0.210

## Properties
* formation energy from raw total energies: -0.7583 eV per atom
* DFT total energy: -0.30220 Ry/atom
* theoretical density: 7.674 g/cm3


4.
VASP calculation (PBE-GGA) on a relaxed structure of PrPaCuO5.

Cell lengths 6.757, 9.833, 7.981 Å; angles 90.00, 111.58, 90.00 degrees
Space group C2/c (No. 15)
Symmetry-distinct sites (fractional):
Pr  0.000  0.166  0.250
Pa  0.000  0.500  0.000
Cu  0.000  0.173  0.750
O  0.000  0.407  0.250
O  0.103  0.297  0.607
O  0.164  0.033  0.922

## Properties
* formation energy from raw total energies: -2.6529 eV per atom
* DFT total energy: -0.59154 Ry/atom
* DOS(E_F): 2.45 states/eV/f.u.
* theoretical density: 6.943 g/cm3


5.
VASP calculation (PBE-GGA) on a relaxed structure of MgCrW2.

Cell lengths 6.316, 6.316, 6.316 Å; angles 90.00, 90.00, 90.00 degrees
Space group F-43m (No. 216)
Symmetry-distinct sites (fractional):
Mg  0.000  0.000  0.000
Cr  0.250  0.250  0.750
W  0.000  0.000  0.500
W  0.250  0.250  0.250

## Properties
* energy of formation from the pure elements: 0.446 eV/atom
* energy relative to the lowest polymorph listed for this composition: 14.4 kJ per mole of atoms
* DFT total energy: -0.64938 Ry/atom
* DOS(E_F): 4.31 states/eV/f.u.
* theoretical density: 11.703 g/cm3


6.
VASP calculation (PBE-GGA) on a relaxed structure of UTiSe2O.

Cell lengths 3.722, 3.722, 13.368 Å; angles 90.00, 90.00, 90.00 degrees
Space group P4/nmm (No. 129, origin choice 2)
Symmetry-distinct sites (fractional):
U  0.250  0.250  0.102
Ti  0.250  0.250  0.579
Se  0.250  0.250  0.388
Se  0.250  0.250  0.789
O  0.250  0.750  0.000

## Properties
* formation energy from raw total energies: -1.7735 eV per atom
* DFT total energy: -0.58766 Ry/atom
* DOS(E_F): 7.48 states/eV/f.u.
* theoretical density: 8.248 g/cm3


Question: Among the records above, which one has the highest DFT total energy?
Answer: TmTl3Bi2Se6